(1)
Compound: UGe2Mo
Source: the Alexandria database
Functional: GGA-PBE
Structure: relaxed

POSCAR file:
```
UGe2Mo
1.0
2.9404 0.0000 0.0000
-1.4702 2.5465 0.0000
0.0000 0.0000 30.3869
U Ge Mo
3 6 3
Direct
0.0000 0.0000 0.0000
0.3333 0.6667 0.6667
0.6667 0.3333 0.3333
0.0000 0.0000 0.0974
0.0000 0.0000 0.9026
0.3333 0.6667 0.5692
0.3333 0.6667 0.7641
0.6667 0.3333 0.2359
0.6667 0.3333 0.4308
0.0000 0.0000 0.5000
0.3333 0.6667 0.1667
0.6667 0.3333 0.8333
```

## Properties
Space-group type: R-3m
Relative energy among the computed polymorphs in eV/atom: 0.273



(2)
Compound: UGe6Mo5
Source: the Alexandria database
Functional: GGA-PBE
Structure: relaxed

POSCAR file:
```
UGe6Mo5
1.0
4.4949 0.0000 0.0000
-0.0046 6.4413 0.0000
-2.2331 -1.0357 6.9542
U Ge Mo
1 6 5
Direct
0.0000 0.0000 0.0000
0.1713 0.7080 0.3432
0.1800 0.2694 0.3610
0.4763 0.2793 0.9522
0.5237 0.7207 0.0478
0.8200 0.7306 0.6390
0.8287 0.2920 0.6568
0.0000 0.5000 0.0000
0.3094 0.0152 0.6158
0.3400 0.5364 0.6799
0.6600 0.4636 0.3201
0.6906 0.9848 0.3842
```

## Properties
Space-group type: P-1



(3)
Compound: UVGeMo
Source: the Alexandria database
Functional: GGA-PBE
Structure: relaxed

POSCAR file:
```
UVGeMo
1.0
6.4329 0.0000 0.0000
0.0000 6.4329 0.0000
0.0000 0.0000 6.4329
U V Ge Mo
4 4 4 4
Direct
0.0000 0.0000 0.0000
0.0000 0.5000 0.5000
0.5000 0.0000 0.5000
0.5000 0.5000 0.0000
0.2500 0.2500 0.7500
0.2500 0.7500 0.2500
0.7500 0.2500 0.2500
0.7500 0.7500 0.7500
0.0000 0.0000 0.5000
0.0000 0.5000 0.0000
0.5000 0.0000 0.0000
0.5000 0.5000 0.5000
0.2500 0.2500 0.2500
0.2500 0.7500 0.7500
0.7500 0.2500 0.7500
0.7500 0.7500 0.2500
```

## Properties
Space-group type: F-43m



(4)
Compound: V4GeMo
Source: the Alexandria database
Functional: GGA-PBE
Structure: relaxed

POSCAR file:
```
V4GeMo
1.0
4.3085 0.0000 0.0000
0.0000 4.3284 0.0000
-2.1420 0.0000 4.4959
V Ge Mo
4 1 1
Direct
0.1698 0.0000 0.3388
0.3252 0.5000 0.6500
0.6748 0.5000 0.3500
0.8302 0.0000 0.6612
0.0000 0.5000 0.0000
0.5000 0.0000 0.0000
```

## Properties
Space-group type: P2/m
Relative energy among the computed polymorphs in eV/atom: 0.000



(5)
Compound: V2Ge4Mo
Source: the Alexandria database
Functional: GGA-PBE
Structure: relaxed

POSCAR file:
```
V2Ge4Mo
1.0
4.7777 0.0000 0.0000
0.0000 4.7777 0.0000
0.0000 0.0000 12.4019
V Ge Mo
4 8 2
Direct
0.0000 0.0000 0.0892
0.0000 0.0000 0.9108
0.5000 0.5000 0.4108
0.5000 0.5000 0.5892
0.0000 0.0000 0.2956
0.0000 0.0000 0.7044
0.0000 0.5000 0.0000
0.0000 0.5000 0.5000
0.5000 0.0000 0.0000
0.5000 0.0000 0.5000
0.5000 0.5000 0.2044
0.5000 0.5000 0.7956
0.0000 0.0000 0.5000
0.5000 0.5000 0.0000
```

## Properties
Space-group type: I4/mmm



(6)
Compound: V2Ge6Mo
Source: the Alexandria database
Functional: GGA-PBE
Structure: relaxed

POSCAR file:
```
V2Ge6Mo
1.0
2.4206 -4.1923 0.0000
2.4206 4.1923 0.0000
0.0000 0.0000 6.6533
V Ge Mo
2 6 1
Direct
0.0000 0.5000 0.1665
0.5000 0.0000 0.8335
0.1689 0.3371 0.8363
0.3325 0.6675 0.5000
0.3371 0.1689 0.1637
0.6629 0.8311 0.1637
0.6675 0.3325 0.5000
0.8311 0.6629 0.8363
0.0000 0.0000 0.5000
```

## Properties
Space-group type: C222



(7)
Compound: VGe3Mo
Source: the Alexandria database
Functional: GGA-PBE
Structure: relaxed

POSCAR file:
```
VGe3Mo
1.0
3.6147 0.0000 0.0000
0.0000 8.2419 0.0000
-1.7785 0.0000 5.6888
V Ge Mo
2 6 2
Direct
0.0075 0.2500 0.0255
0.9925 0.7500 0.9745
0.1543 0.0159 0.3009
0.1543 0.4841 0.3009
0.3744 0.2500 0.7536
0.6256 0.7500 0.2464
0.8457 0.5159 0.6991
0.8457 0.9841 0.6991
0.2788 0.7500 0.5615
0.7212 0.2500 0.4385
```

## Properties
Space-group type: P2_1/m
Relative energy among the computed polymorphs in eV/atom: 0.000



(8)
Compound: V4GeMo
Source: the Alexandria database
Functional: GGA-PBE
Structure: relaxed

POSCAR file:
```
V4GeMo
1.0
6.1548 -3.1506 0.0000
6.1548 3.1506 0.0000
-1.6633 0.0000 4.6694
V Ge Mo
8 2 2
Direct
0.0927 0.6179 0.3988
0.1812 0.8188 0.0000
0.3098 0.3098 0.8160
0.3821 0.9073 0.6012
0.6179 0.0927 0.3988
0.6902 0.6902 0.1840
0.8188 0.1812 0.0000
0.9073 0.3821 0.6012
0.4914 0.4914 0.2589
0.5086 0.5086 0.7411
0.1963 0.1963 0.1790
0.8037 0.8037 0.8210
```

## Properties
Space-group type: C2/m
Relative energy among the computed polymorphs in eV/atom: 0.345



(9)
Compound: V6Ge4Mo
Source: the Alexandria database
Functional: GGA-PBE
Structure: relaxed

POSCAR file:
```
V6Ge4Mo
1.0
-3.1296 3.1296 4.6510
3.1296 -3.1296 4.6510
3.1296 3.1296 -4.6510
V Ge Mo
6 4 1
Direct
0.0000 0.5000 0.5000
0.2265 0.2265 0.7070
0.4805 0.7735 0.0000
0.5000 0.0000 0.5000
0.5195 0.5195 0.2930
0.7735 0.4805 0.0000
0.1272 0.6172 0.0000
0.3828 0.3828 0.5099
0.6172 0.1272 0.0000
0.8728 0.8728 0.4901
0.0000 0.0000 0.0000
```

## Properties
Space-group type: I-42m



(10)
Compound: VGe2Mo2
Source: the Alexandria database
Functional: GGA-PBE
Structure: relaxed

POSCAR file:
```
VGe2Mo2
1.0
6.7320 0.0000 0.0000
0.0000 6.7320 0.0000
0.0000 0.0000 3.3660
V Ge Mo
2 4 4
Direct
0.0000 0.0000 0.0000
0.5000 0.5000 0.0000
0.1423 0.3577 0.0000
0.3577 0.8577 0.0000
0.6423 0.1423 0.0000
0.8577 0.6423 0.0000
0.1572 0.6572 0.5000
0.3428 0.1572 0.5000
0.6572 0.8428 0.5000
0.8428 0.3428 0.5000
```

## Properties
Space-group type: P4/mbm
Relative energy among the computed polymorphs in eV/atom: 0.012



(11)
Compound: V12GeMo6
Source: the Alexandria database
Functional: GGA-PBE
Structure: relaxed

POSCAR file:
```
V12GeMo6
1.0
6.1952 3.5768 2.1588
-6.1952 3.5768 2.1588
0.0000 -7.1536 2.1588
V Ge Mo
12 1 6
Direct
0.0000 0.3579 0.6421
0.0000 0.6421 0.3579
0.2648 0.2648 0.6036
0.2648 0.6036 0.2648
0.3579 0.0000 0.6421
0.3579 0.6421 0.0000
0.3964 0.7352 0.7352
0.6036 0.2648 0.2648
0.6421 0.0000 0.3579
0.6421 0.3579 0.0000
0.7352 0.3964 0.7352
0.7352 0.7352 0.3964
0.5000 0.5000 0.5000
0.0493 0.7814 0.7814
0.2186 0.2186 0.9507
0.2186 0.9507 0.2186
0.7814 0.0493 0.7814
0.7814 0.7814 0.0493
0.9507 0.2186 0.2186
```

## Properties
Space-group type: R-3m



(12)
Compound: VGe2Mo2
Source: the Alexandria database
Functional: GGA-PBE
Structure: relaxed

POSCAR file:
```
VGe2Mo2
1.0
3.8315 0.0000 0.0000
0.0000 3.8315 0.0000
0.0000 0.0000 11.6963
V Ge Mo
2 4 4
Direct
0.0000 0.0000 0.0000
0.5000 0.5000 0.5000
0.0000 0.0000 0.3988
0.0000 0.0000 0.6012
0.5000 0.5000 0.1012
0.5000 0.5000 0.8988
0.0000 0.5000 0.2500
0.0000 0.5000 0.7500
0.5000 0.0000 0.2500
0.5000 0.0000 0.7500
```

## Properties
Space-group type: I4/mmm
Relative energy among the computed polymorphs in eV/atom: 0.387



In the order shown, the computed energy relative to the elements values come out to 0.9 0.5 0.3 -0.8 3.5 -1.4 0.8 1.3 2.6 -0.1 7.8 1.8 eV/f.u..
In the order shown, the computed uncorrected energy values come out to -91.25 -92.66 -142.24 -52.70 -88.06 -58.17 -66.03 -101.26 -81.46 -80.18 -171.18 -76.44 eV for the cell shown.